MnTlBi2O6 after structural relaxation, computed with PBE+U.

Total moment in Bohr magnetons per cell: 3.99
ρ in g/cm³: 8.7
Total DFT energy (no corrections) in eV per formula unit: -58.7

Geometry as CIF:
```
data_MnTlBi2O6
_space_group_name_H-M_alt 'P 1'
_space_group_IT_number 1
_space_group_name_Hall 'P 1'
_cell_length_a 5.724
_cell_length_b 5.897
_cell_length_c 5.957
_cell_angle_alpha 119.37
_cell_angle_beta 90.51
_cell_angle_gamma 117.97
loop_
_atom_site_label
_atom_site_fract_x
_atom_site_fract_y
_atom_site_fract_z
Mn1 0.000 0.000 0.000
Tl1 0.509 0.029 0.540
Bi1 0.298 0.593 0.881
Bi2 0.782 0.577 0.362
O1 0.129 0.866 0.193
O2 0.198 0.863 0.736
O3 0.356 0.512 0.217
O4 0.643 0.502 0.691
O5 0.718 0.042 0.176
O6 0.870 0.047 0.717
```